*A*
The following is a PBE calculation of a relaxed structure of SbCS3, from Alexandria via LeMat-Bulk.

Computed properties:
DOS at the Fermi energy, states/eV/cell: 2.66

a = 4.2540 Å, b = 4.2540 Å, c = 4.2540 Å
α = 90.00°, β = 90.00°, γ = 90.00°
With the nearest neighbours (Å) after each atom.
Space group Pm-3m (No. 221)
Unique sites:
Sb  0.0000  0.0000  0.0000 (multiplicity 1)  12 S 3.01
C  0.5000  0.5000  0.5000 (multiplicity 1)  6 S 2.13
S  0.0000  0.5000  0.5000 (multiplicity 3)  2 C 2.13

*B*
The following is a PBE calculation of a relaxed structure of SbCS3, from Alexandria via LeMat-Bulk.

Computed properties:
DOS at the Fermi energy, states/eV/cell: 4.51

a = 4.9766 Å, b = 4.9766 Å, c = 4.9766 Å
α = 90.00°, β = 90.00°, γ = 90.00°
With the nearest neighbours (Å) after each atom.
Space group Pm-3m (No. 221)
Unique sites:
Sb  0.0000  0.0000  0.0000 (multiplicity 1)  6 S 2.49
C  0.5000  0.5000  0.5000 (multiplicity 1)  12 S 3.52
S  0.0000  0.0000  0.5000 (multiplicity 3)  2 Sb 2.49

Of them, the most stable is *A* and the least stable is *B*.

*A*
The following is a PBE calculation of a relaxed structure of SbC2S, from Alexandria via LeMat-Bulk.

Computed properties:
DOS at the Fermi energy, states/eV/cell: 2.63

a = 4.5486 Å, b = 4.5486 Å, c = 11.4421 Å
α = 90.00°, β = 90.00°, γ = 90.00°
With the nearest neighbours (Å) after each atom.
Space group I-42d (No. 122)
Unique sites:
Sb  0.0000  0.0000  0.0000 (multiplicity 4)  4 C 2.25
C  0.2113  0.2500  0.6250 (multiplicity 8)  2 S 2.06, 2 Sb 2.25
S  0.0000  0.0000  0.5000 (multiplicity 4)  4 C 2.06

*B*
The following is a PBE calculation of a relaxed structure of SbC2S, from Alexandria via LeMat-Bulk.

Computed properties:
DOS at the Fermi energy, states/eV/cell: 13.97

a = 5.9119 Å, b = 5.9119 Å, c = 5.9119 Å
α = 90.00°, β = 90.00°, γ = 90.00°
With the nearest neighbours (Å) after each atom.
Space group Fm-3m (No. 225)
Unique sites:
Sb  0.0000  0.0000  0.0000 (multiplicity 4)  8 C 2.56
C  0.2500  0.2500  0.2500 (multiplicity 8)  4 S 2.56, 4 Sb 2.56
S  0.0000  0.0000  0.5000 (multiplicity 4)  8 C 2.56

Of them, the most stable is *A* and the least stable is *B*.